Computed, not measured: crystalline K3NiPd2O6 at its relaxed geometry at the GGA+U level of DFT.

Cell: 5.6581 5.6581 6.1361 Å, 98.50 98.50 121.13°
Last column: nearest neighbours and their distance in Å.
Fractional coordinates of all 12 atoms:
Ni1 0.0000 0.0000 0.0000  6 O 2.13-2.17
K1 0.8348 0.1652 0.5000  6 O 2.67-2.69
K2 0.5000 0.5000 0.5000  6 O 2.65-2.68
K3 0.1652 0.8348 0.5000  6 O 2.67-2.69
O1 0.7201 0.7201 0.1716  1 Ni 2.13, 2 Pd 2.13
O2 0.9372 0.6017 0.8260  2 Pd 2.08-2.15, 1 Ni 2.17
O3 0.3983 0.0628 0.1740  2 Pd 2.08-2.15, 1 Ni 2.17
O4 0.2799 0.2799 0.8284  1 Ni 2.13, 2 Pd 2.13
O5 0.6017 0.9372 0.8260  2 Pd 2.08-2.15, 1 Ni 2.17
O6 0.0628 0.3983 0.1740  2 Pd 2.08-2.15, 1 Ni 2.17
Pd1 0.6671 0.3329 0.0000  6 O 2.08-2.15
Pd2 0.3329 0.6671 0.0000  6 O 2.08-2.15

Output
Final energy in eV per atom: -4.749
Space group: No. 12
Volume in A^3/atom: 13.363
Crystal system: monoclinic